1.
A geometry-optimized MgNiMo4 structure, computed with PBE.

SG ... F-43m
Calculated formation energy ... 0.4769 eV per atom
Total moment ... 0.0 Bohr magnetons per cell

Cell lengths 5.2189, 5.2189, 5.2189 Å; angles 60.00, 60.00, 60.00 degrees
Last column: nearest neighbours and their distance in Å.
Element x y z (fractional)
Mg: 0.0000 0.0000 0.0000  12 Mo 3.06, 4 Ni 3.20
Ni: 0.2500 0.2500 0.2500  12 Mo 3.06, 4 Mg 3.20
Mo: 0.1244 0.6252 0.6252  6 Mo 2.61
Mo: 0.6252 0.1244 0.6252  6 Mo 2.61
Mo: 0.6252 0.6252 0.1244  6 Mo 2.61
Mo: 0.6252 0.6252 0.6252  6 Mo 2.61

2.
A geometry-optimized VSb2TeCl structure, computed with PBE.

SG ... P4/mmm
Raw formation energy ... 16 kJ/mol of formula units
Total moment ... 0.0 Bohr magnetons per cell

Cell lengths 5.1370, 5.1370, 5.0625 Å; angles 90.00, 90.00, 90.00 degrees
Last column: nearest neighbours and their distance in Å.
Element x y z (fractional)
V: 0.0000 0.0000 0.0000  2 Te 2.53, 4 Sb 2.57
Sb: 0.0000 0.5000 0.0000  2 V 2.57
Sb: 0.5000 0.0000 0.0000  2 V 2.57
Te: 0.0000 0.0000 0.5000  2 V 2.53
Cl: 0.5000 0.5000 0.5000  8 Sb 3.61, 4 Te 3.63

3.
A geometry-optimized As2RuCl structure, computed with PBE.

SG ... P4/mmm
Raw formation energy ... -21 kJ/mol of formula units
Total moment ... 0.0 Bohr magnetons per cell

Cell lengths 3.0778, 3.0778, 7.4994 Å; angles 90.00, 90.00, 90.00 degrees
Last column: nearest neighbours and their distance in Å.
Element x y z (fractional)
As: 0.0000 0.0000 0.2051  4 Ru 2.66
As: 0.0000 0.0000 0.7949  4 Ru 2.66
Ru: 0.5000 0.5000 0.0000  8 As 2.66
Cl: 0.5000 0.5000 0.5000  4 Cl 3.08, 8 As 3.10